Record 1
{"formula": "TlGaBi2", "functional": "PBEsol", "state": "relaxed", "lattice": [[-3.302, 3.302, 6.537], [3.302, -3.302, 6.537], [3.302, 3.302, -6.537]], "species": ["Tl", "Tl", "Ga", "Ga", "Bi", "Bi", "Bi", "Bi"], "frac_coords": [[0.000, 0.000, 0.000], [0.750, 0.250, 0.500], [0.250, 0.750, 0.500], [0.500, 0.500, 0.000], [0.153, 0.625, 0.028], [0.375, 0.403, 0.528], [0.597, 0.125, 0.972], [0.875, 0.847, 0.472]], "spacegroup": "I-42d, No. 122", "formation_enthalpy_0k_ev_per_atom": 0.144, "crystal_system": "tetragonal"}

=====

Record 2
{"formula": "GdBi3", "functional": "PBEsol", "state": "relaxed", "lattice": [[6.727, 0.000, 0.000], [-3.364, 5.826, 0.000], [0.000, 0.000, 5.962]], "species": ["Gd", "Gd", "Bi", "Bi", "Bi", "Bi", "Bi", "Bi"], "frac_coords": [[0.333, 0.667, 0.250], [0.667, 0.333, 0.750], [0.172, 0.343, 0.750], [0.172, 0.828, 0.750], [0.343, 0.172, 0.250], [0.657, 0.828, 0.750], [0.828, 0.172, 0.250], [0.828, 0.657, 0.250]], "spacegroup": "P6_3/mmc, No. 194", "formation_enthalpy_0k_ev_per_atom": -0.444, "crystal_system": "hexagonal"}

=====

Record 3
{"formula": "GdTiNbBi2O9", "functional": "PBEsol", "state": "relaxed", "lattice": [[5.368, 0.000, 0.000], [0.000, 5.421, 0.000], [-2.589, 0.000, 12.481]], "species": ["Gd", "Gd", "Ti", "Ti", "Nb", "Nb", "Bi", "Bi", "Bi", "Bi", "O", "O", "O", "O", "O", "O", "O", "O", "O", "O", "O", "O", "O", "O", "O", "O", "O", "O"], "frac_coords": [[0.242, 0.000, 0.000], [0.758, 0.500, 0.000], [0.335, 0.540, 0.169], [0.665, 0.040, 0.831], [0.177, 0.543, 0.831], [0.823, 0.043, 0.169], [0.027, 0.977, 0.603], [0.429, 0.969, 0.396], [0.571, 0.469, 0.604], [0.973, 0.477, 0.397], [0.018, 0.772, 0.119], [0.022, 0.542, 0.685], [0.100, 0.275, 0.120], [0.244, 0.740, 0.502], [0.258, 0.240, 0.501], [0.327, 0.553, 0.309], [0.341, 0.583, 0.000], [0.353, 0.872, 0.827], [0.484, 0.367, 0.828], [0.516, 0.867, 0.172], [0.647, 0.372, 0.173], [0.659, 0.083, 0.000], [0.673, 0.053, 0.691], [0.742, 0.740, 0.499], [0.756, 0.240, 0.498], [0.900, 0.775, 0.880], [0.978, 0.042, 0.315], [0.982, 0.272, 0.881]], "spacegroup": "P2_1, No. 4", "raw_formation_energy_ev_per_fu": -34.28, "crystal_system": "monoclinic"}

=====

| no. | energy (eV per atom) | V (Å³/atom) |
| --- | --- | --- |
| 1 | -3.49 | 35.65 |
| 2 | -7.27 | 29.21 |
| 3 | -8.84 | 12.97 |